Computed, not measured: Nb2BiCl2 after structural relaxation at the PBE level of DFT.

Cell: 4.596 4.596 9.771 Å, 90.00 90.00 90.00°
Space group I4/mmm (No. 139)
Asymmetric unit:
Nb 0.000 0.500 0.250 [4 per cell]
Bi 0.000 0.000 0.000 [2 per cell]
Cl 0.000 0.000 0.354 [4 per cell]

- M_tot: 0.0 μB per formula unit
- Formation energy without anion corrections: 79 meV per atom

=====

Computed, not measured: NbBiCl3 after structural relaxation at the PBE level of DFT.

Cell: 5.145 5.145 5.145 Å, 90.00 90.00 90.00°
Space group Pm-3m (No. 221)
Asymmetric unit:
Nb 0.000 0.000 0.000 [1 per cell]
Bi 0.500 0.500 0.500 [1 per cell]
Cl 0.000 0.000 0.500 [3 per cell]

- M_tot: 5.0 μB per formula unit
- Formation energy without anion corrections: -215 meV per atom

=====

Computed, not measured: Nb2BiCl2 after structural relaxation at the PBE level of DFT.

Cell: 8.402 8.402 3.024 Å, 90.00 90.00 90.00°
Space group P4/mbm (No. 127)
Asymmetric unit:
Nb 0.122 0.378 0.000 [4 per cell]
Bi 0.000 0.000 0.500 [2 per cell]
Cl 0.129 0.629 0.500 [4 per cell]

- M_tot: 0.0 μB per formula unit
- Formation energy without anion corrections: 331 meV per atom

=====

Computed, not measured: NbBi2Cl after structural relaxation at the PBE level of DFT.

Cell: 7.356 7.356 7.356 Å, 90.00 90.00 90.00°
Space group Fm-3m (No. 225)
Asymmetric unit:
Nb 0.000 0.000 0.000 [4 per cell]
Bi 0.250 0.250 0.250 [8 per cell]
Cl 0.000 0.000 0.500 [4 per cell]

- M_tot: 0.0 μB per formula unit
- Formation energy without anion corrections: 458 meV per atom

=====

Computed, not measured: NbBiCl6 after structural relaxation at the PBE level of DFT.

Cell: 6.5329 6.5329 18.0003 Å, 90.00 90.00 120.00°
Space group R-3 (No. 148, hexagonal axes)
Asymmetric unit:
Nb 0.0000 0.0000 0.0000 [3 per cell]
Bi 0.0000 0.0000 0.5000 [3 per cell]
Cl 0.0092 0.6932 0.9206 [18 per cell]

- M_tot: 2.0 μB per formula unit
- Formation energy without anion corrections: -1006 meV per atom

=====

Computed, not measured: NbBi2Cl after structural relaxation at the PBE level of DFT.

Cell: 6.552 6.552 14.170 Å, 90.00 90.00 90.00°
Space group I-42d (No. 122)
Asymmetric unit:
Nb 0.000 0.000 0.000 [4 per cell]
Bi 0.195 0.250 0.125 [8 per cell]
Cl 0.000 0.000 0.500 [4 per cell]

- M_tot: 0.0 μB per formula unit
- Formation energy without anion corrections: 490 meV per atom

=====

Computed, not measured: NbBiP2Cl after structural relaxation at the PBE level of DFT.

Cell: 5.242 5.242 5.114 Å, 90.00 90.00 90.00°
Space group P4/mmm (No. 123)
Asymmetric unit:
Nb 0.000 0.000 0.000 [1 per cell]
Bi 0.500 0.500 0.500 [1 per cell]
P 0.000 0.500 0.500 [2 per cell]
Cl 0.500 0.500 0.000 [1 per cell]

- M_tot: 2.2 μB per formula unit
- Formation energy without anion corrections: 1249 meV per atom

=====

Computed, not measured: NbBiPCl2 after structural relaxation at the PBE level of DFT.

Cell: 5.250 5.250 5.497 Å, 90.00 90.00 90.00°
Space group P4/mmm (No. 123)
Asymmetric unit:
Nb 0.000 0.000 0.000 [1 per cell]
Bi 0.500 0.500 0.500 [1 per cell]
P 0.500 0.500 0.000 [1 per cell]
Cl 0.000 0.500 0.500 [2 per cell]

- M_tot: 3.3 μB per formula unit
- Formation energy without anion corrections: 803 meV per atom

=====

Computed, not measured: NbBiPCl2 after structural relaxation at the PBE level of DFT.

Cell: 4.797 4.797 5.210 Å, 90.00 90.00 90.00°
Space group P4/mmm (No. 123)
Asymmetric unit:
Nb 0.000 0.000 0.000 [1 per cell]
Bi 0.500 0.500 0.500 [1 per cell]
P 0.000 0.000 0.500 [1 per cell]
Cl 0.000 0.500 0.000 [2 per cell]

- M_tot: 1.3 μB per formula unit
- Formation energy without anion corrections: -82 meV per atom

=====

Computed, not measured: NbBiP2Cl after structural relaxation at the PBE level of DFT.

Cell: 4.965 4.965 4.732 Å, 90.00 90.00 90.00°
Space group P4/mmm (No. 123)
Asymmetric unit:
Nb 0.000 0.000 0.000 [1 per cell]
Bi 0.500 0.500 0.500 [1 per cell]
P 0.000 0.500 0.000 [2 per cell]
Cl 0.000 0.000 0.500 [1 per cell]

- M_tot: 0.0 μB per formula unit
- Formation energy without anion corrections: 93 meV per atom

=====

Computed, not measured: Nb2BiPCl after structural relaxation at the PBE level of DFT.

Cell: 5.507 5.507 5.100 Å, 90.00 90.00 90.00°
Space group P4/mmm (No. 123)
Asymmetric unit:
Nb 0.000 0.500 0.000 [2 per cell]
Bi 0.000 0.000 0.000 [1 per cell]
P 0.500 0.500 0.500 [1 per cell]
Cl 0.000 0.000 0.500 [1 per cell]

- M_tot: 4.8 μB per formula unit
- Formation energy without anion corrections: 1681 meV per atom

=====

Computed, not measured: NbBiS2Cl after structural relaxation at the PBE level of DFT.

Cell: 4.880 4.880 4.833 Å, 90.00 90.00 90.00°
Space group P4/mmm (No. 123)
Asymmetric unit:
Nb 0.000 0.000 0.000 [1 per cell]
Bi 0.500 0.500 0.500 [1 per cell]
S 0.000 0.500 0.000 [2 per cell]
Cl 0.000 0.000 0.500 [1 per cell]

- M_tot: 0.0 μB per formula unit
- Formation energy without anion corrections: -267 meV per atom

=====

> Look up the formation energy without anion corrections of the tenth one.

93 meV per atom

=====

> M_tot of number 11 (Nb2BiPCl)?

4.8 μB per formula unit

=====

> Number 1 is which compound?

Nb2BiCl2

=====

> Which formula does entry 10 have?

NbBiP2Cl